CdIn6BiPb2: relaxed, PBE.

Lattice parameters (Å, degrees): 7.714 9.344 10.585 90.00 128.98 90.00
Positions (direct):
Cd 0.000 0.000 0.000
Cd 0.000 0.500 0.500
In 0.001 0.156 0.265
In 0.001 0.344 0.765
In 0.300 0.736 0.096
In 0.300 0.764 0.596
In 0.401 0.133 0.034
In 0.401 0.367 0.534
In 0.599 0.633 0.466
In 0.599 0.867 0.966
In 0.700 0.236 0.404
In 0.700 0.264 0.904
In 0.999 0.656 0.235
In 0.999 0.844 0.735
Bi 0.500 0.000 0.500
Bi 0.500 0.500 0.000
Pb 0.232 0.101 0.656
Pb 0.232 0.399 0.156
Pb 0.768 0.601 0.844
Pb 0.768 0.899 0.344

## Properties
Space-group type: P2_1/c (14)
Formation enthalpy at 0 K (eV/atom): 0.08